Below is a relaxed structure of BeZnFeBi2, with properties calculated at the PBE level.

Cell lengths 5.083, 5.083, 4.266 Å; angles 90.00, 90.00, 90.00 degrees
Fractional coordinates of all 5 atoms:
1 Be 0.000 0.000 0.000
2 Zn 0.500 0.500 0.000
3 Fe 0.000 0.000 0.500
4 Bi 0.000 0.500 0.500
5 Bi 0.500 0.000 0.500

Values from the calculation:
energy relative to the elements	0.5576	eV per atom
SG	P4/mmm, No. 123